1.
CePu4Pd5 | PBE | relaxed

Results
The volume is 220.3 Å³ per cell. The calculation puts the density at 12.42 Mg/m³. The calculation puts the density of states at the Fermi level at 40.98 states/eV/cell. The formation energy comes out at -0.45 eV/atom.

```
data_CePu4Pd5
_cell_length_a 3.604
_cell_length_b 3.604
_cell_length_c 16.959
_cell_angle_alpha 90.00
_cell_angle_beta 90.00
_cell_angle_gamma 90.00
_symmetry_space_group_name_H-M 'P 4/m m m'
_symmetry_Int_Tables_number 123
_symmetry_space_group_name_Hall '-P 4 2'
loop_
_atom_site_label
_atom_site_fract_x
_atom_site_fract_y
_atom_site_fract_z
_atom_site_occupancy
Ce1 0.000 0.000 0.000 1
Pu1 0.000 0.000 0.202 1
Pu2 0.000 0.000 0.401 1
Pd1 0.500 0.500 0.100 1
Pd2 0.500 0.500 0.302 1
Pd3 0.500 0.500 0.500 1
```

---

2.
Ce8PuPd6 | PBE | relaxed

Results
The volume is 343.3 Å³ per cell. The calculation puts the density at 9.69 Mg/m³. The calculation puts the density of states at the Fermi level at 29.11 states/eV/cell. The formation energy comes out at -0.49 eV/atom.

```
data_Ce8PuPd6
_cell_length_a 8.9133
_cell_length_b 8.9133
_cell_length_c 4.9896
_cell_angle_alpha 90.00
_cell_angle_beta 90.00
_cell_angle_gamma 120.00
_symmetry_space_group_name_H-M 'P -3'
_symmetry_Int_Tables_number 147
_symmetry_space_group_name_Hall '-P 3'
loop_
_atom_site_label
_atom_site_fract_x
_atom_site_fract_y
_atom_site_fract_z
_atom_site_occupancy
Ce1 0.0239 0.7710 0.2481 1
Ce2 0.3333 0.6667 0.7565 1
Pu1 0.0000 0.0000 0.5000 1
Pd1 0.0624 0.4644 0.2491 1
```

---

3.
Ce7PuPd2 | PBE | relaxed

Results
The volume is 955.7 Å³ per cell. The calculation puts the density at 9.99 Mg/m³. The calculation puts the density of states at the Fermi level at 88.05 states/eV/cell. The formation energy comes out at -0.20 eV/atom.

```
data_Ce7PuPd2
_cell_length_a 14.670
_cell_length_b 7.820
_cell_length_c 10.532
_cell_angle_alpha 90.00
_cell_angle_beta 127.72
_cell_angle_gamma 90.00
_symmetry_space_group_name_H-M 'C 1 2/c 1'
_symmetry_Int_Tables_number 15
_symmetry_space_group_name_Hall '-C 2yc'
loop_
_atom_site_label
_atom_site_fract_x
_atom_site_fract_y
_atom_site_fract_z
_atom_site_occupancy
Ce1 0.000 0.012 0.250 1
Ce2 0.076 0.305 0.098 1
Ce3 0.136 0.292 0.813 1
Ce4 0.191 0.387 0.522 1
Pu1 0.000 0.397 0.250 1
Pd1 0.167 0.032 0.627 1
```

---

4.
Ce3PuPd12 | PBE | relaxed

Results
The volume is 286.3 Å³ per cell. The calculation puts the density at 11.26 Mg/m³. The calculation puts the density of states at the Fermi level at 26.62 states/eV/cell. The formation energy comes out at -0.64 eV/atom.

```
data_Ce3PuPd12
_cell_length_a 4.151
_cell_length_b 4.151
_cell_length_c 16.614
_cell_angle_alpha 90.00
_cell_angle_beta 90.00
_cell_angle_gamma 90.00
_symmetry_space_group_name_H-M 'P 4/m m m'
_symmetry_Int_Tables_number 123
_symmetry_space_group_name_Hall '-P 4 2'
loop_
_atom_site_label
_atom_site_fract_x
_atom_site_fract_y
_atom_site_fract_z
_atom_site_occupancy
Ce1 0.000 0.000 0.000 1
Ce2 0.000 0.000 0.251 1
Pu1 0.000 0.000 0.500 1
Pd1 0.000 0.500 0.125 1
Pd2 0.000 0.500 0.376 1
Pd3 0.500 0.500 0.000 1
Pd4 0.500 0.500 0.250 1
Pd5 0.500 0.500 0.500 1
```

---

Number 1: raw total energy -9.372 eV per atom. Number 2: raw total energy -6.682 eV per atom. Number 3: raw total energy -6.827 eV per atom. Number 4: raw total energy -6.539 eV per atom.